Density functional theory data (PBE) for a relaxed NaMnTlBr5 crystal.

Values from the calculation:
The calculated total energy is -113.09 eV per cell. The calculation puts the uncorrected formation energy at -882 meV per atom.

Unit cell a=9.2953 b=13.5468 c=10.1206 alpha=90.00 beta=116.48 gamma=90.00
Space group C2/c (No. 15)
Asymmetric unit:
1 Na 0.2500 0.2500 0.0000 x4
2 Mn 0.0000 0.0858 0.2500 x4
3 Tl 0.0000 0.4412 0.2500 x4
4 Br 0.0000 0.3338 0.7500 x4
5 Br 0.0407 0.1994 0.4409 x8
6 Br 0.2167 0.0265 0.8886 x8